BaAg2BiP after structural relaxation, computed with GGA-PBE.

Cell: 6.031 6.031 6.839 Å, 90.00 90.00 90.00°
Space group P4/mmm (No. 123)
One atom of each set of equivalent atoms:
Ba  0.000  0.000  0.000 x1
Ag  0.000  0.500  0.000 x2
Bi  0.000  0.000  0.500 x1
P  0.500  0.500  0.500 x1

Output
DFT total energy = -0.073 hartree per atom
magnetization = 0.8 μB per formula unit
calculated density = 3.96 g/cm³
density of states at the Fermi level = 4.47 states/eV per cell